1.
# ZrScRu2

Crystalline ZrScRu2 at its relaxed geometry (PBE-GGA, Alexandria via LeMat-Bulk).

Cell lengths 3.5565, 3.5565, 5.7168 Å; angles 90.00, 90.00, 90.00 degrees
Sites, in units of the cell vectors:
Ru: 0.0000 0.0000 0.9634
Ru: 0.5000 0.5000 0.2931
Sc: 0.0000 0.0000 0.4481
Zr: 0.5000 0.5000 0.7954

Space-group type: P4mm (99)
Energy relative to the elements (eV/atom): -0.1358
Crystal system: tetragonal

---

2.
# CaSc5In3

Crystalline CaSc5In3 at its relaxed geometry (PBE-GGA, Alexandria via LeMat-Bulk).

Cell lengths 6.4250, 8.8426, 8.8426 Å; angles 120.00, 90.00, 90.00 degrees
Last column: magnetic moment on the atom in μB.
Sites, in units of the cell vectors:
Ca: 0.0000 0.0000 0.0000  0.00
Ca: 0.5000 0.0000 0.0000  0.00
Sc: 0.0000 0.6667 0.3333  0.15
Sc: 0.5000 0.3333 0.6667  0.15
Sc: 0.0000 0.3333 0.6667  0.15
Sc: 0.5000 0.6667 0.3333  0.15
Sc: 0.7500 0.6631 0.6631  0.07
Sc: 0.7500 0.0000 0.3369  0.07
Sc: 0.7500 0.3369 0.0000  0.07
Sc: 0.2500 0.3369 0.3369  0.07
Sc: 0.2500 0.0000 0.6631  0.07
Sc: 0.2500 0.6631 0.0000  0.07
In: 0.7500 0.3367 0.3367  -0.01
In: 0.7500 0.0000 0.6633  -0.01
In: 0.7500 0.6633 0.0000  -0.01
In: 0.2500 0.6633 0.6633  -0.01
In: 0.2500 0.0000 0.3367  -0.01
In: 0.2500 0.3367 0.0000  -0.01

Space-group type: P6_3/mcm (193)
Energy relative to the elements (eV/atom): -0.3424
Crystal system: hexagonal

---

3.
# Pm12Nd7Ho

Crystalline Pm12Nd7Ho at its relaxed geometry (PBE-GGA, Alexandria via LeMat-Bulk).

Cell lengths 6.9922, 11.6997, 9.4699 Å; angles 70.20, 85.86, 104.48 degrees
Sites, in units of the cell vectors:
Pm: 0.7487 0.4945 0.9544
Pm: 0.0678 0.8873 0.4589
Pm: 0.3705 0.1945 0.2297
Pm: 0.5852 0.9051 0.3782
Pm: 0.7042 0.5935 0.5605
Pm: 0.2059 0.6058 0.6532
Pm: 0.7941 0.3942 0.3468
Pm: 0.2958 0.4065 0.4395
Pm: 0.4148 0.0949 0.6218
Pm: 0.6295 0.8055 0.7703
Pm: 0.9322 0.1127 0.5411
Pm: 0.2513 0.5055 0.0456
Nd: 0.8858 0.2144 0.1297
Nd: 0.1440 0.7038 0.2605
Nd: 0.3525 0.3058 0.8342
Nd: 0.5000 0.0000 0.0000
Nd: 0.6475 0.6942 0.1658
Nd: 0.8560 0.2962 0.7395
Nd: 0.1142 0.7856 0.8703
Ho: 0.0000 0.0000 0.0000

Space-group type: P-1 (2)
Energy relative to the elements (eV/atom): 0.0615
Crystal system: triclinic
Excess energy over the best structure of this formula in the dataset (eV/f.u.): 0.000

---

4.
# NaAcSe2O6

Crystalline NaAcSe2O6 at its relaxed geometry (PBE-GGA, Alexandria via LeMat-Bulk).

Cell lengths 5.5856, 5.5856, 6.9951 Å; angles 66.47, 66.47, 60.00 degrees
Sites, in units of the cell vectors:
Na: 0.0000 0.0000 0.0000
Ac: 0.5000 0.5000 0.5000
Se: 0.7131 0.7131 0.8608
Se: 0.2869 0.2869 0.1392
O: 0.0297 0.4660 0.7440
O: 0.7603 0.0297 0.7440
O: 0.5340 0.2397 0.2560
O: 0.9703 0.5340 0.2560
O: 0.2397 0.9703 0.2560
O: 0.4660 0.7603 0.7440

Space-group type: R-3 (148)
Formation energy (no corrections) (eV/atom): -1.739
Crystal system: trigonal

---

5.
# Zn2InMo

Crystalline Zn2InMo at its relaxed geometry (PBE-GGA, Alexandria via LeMat-Bulk).

Cell lengths 5.2315, 5.2315, 5.2315 Å; angles 136.22, 136.22, 63.64 degrees
Last column: magnetic moment on the atom in μB.
Sites, in units of the cell vectors:
In: 0.2500 0.7500 0.5000  -0.01
Mo: 0.7500 0.2500 0.5000  0.49
Zn: 0.0000 0.0000 0.0000  0.01
Zn: 0.5000 0.5000 0.0000  0.01

Space-group type: I4/mmm (139)
Energy relative to the elements (eV/atom): 0.2638
Crystal system: tetragonal

---

6.
# Sr8TlSn2

Crystalline Sr8TlSn2 at its relaxed geometry (PBE-GGA, Alexandria via LeMat-Bulk).

Cell lengths 5.6527, 9.0654, 9.9772 Å; angles 117.03, 106.46, 90.00 degrees
Sites, in units of the cell vectors:
Sr: 0.6557 0.8760 0.3115
Sr: 0.3445 0.5646 0.6890
Sr: 0.1483 0.1486 0.2966
Sr: 0.9999 0.3091 0.9997
Sr: 0.8517 0.8514 0.7034
Sr: 0.6555 0.4354 0.3110
Sr: 0.3443 0.1240 0.6885
Sr: 0.0001 0.6909 0.0003
Tl: 0.5000 0.0000 0.0000
Sn: 0.1912 0.6908 0.3823
Sn: 0.8088 0.3092 0.6177

Space-group type: Immm (71)
Energy relative to the elements (eV/atom): -0.3137
Crystal system: orthorhombic

---

7.
# HoFeSi2

Crystalline HoFeSi2 at its relaxed geometry (PBE-GGA, Alexandria via LeMat-Bulk).

Cell lengths 3.8921, 3.8921, 5.4305 Å; angles 69.00, 69.00, 60.00 degrees
Sites, in units of the cell vectors:
Si: 0.7083 0.7083 0.8752
Si: 0.2917 0.2917 0.1248
Ho: 0.5000 0.5000 0.5000
Fe: 0.0000 0.0000 0.0000

Space-group type: R-3m (166)
Formation energy (no corrections) (eV/atom): -0.653
Crystal system: trigonal

---

8.
# DyTm2Pd

Crystalline DyTm2Pd at its relaxed geometry (PBE-GGA, Alexandria via LeMat-Bulk).

Cell lengths 3.6003, 3.6003, 9.9249 Å; angles 79.55, 79.55, 60.00 degrees
Sites, in units of the cell vectors:
Tm: 0.2668 0.2668 0.1997
Tm: 0.7332 0.7332 0.8003
Pd: 0.0000 0.0000 0.0000
Dy: 0.5000 0.5000 0.5000

Space-group type: R-3m (166)
Energy relative to the elements (eV/atom): -0.3083
Crystal system: trigonal
Excess energy over the best structure of this formula in the dataset (eV/f.u.): 0.731